1.
# InTeCl2 PBE-GGA optimized geometry
# Energy relative to the elements, uncorrected = -120.0 kJ/mol of formula units
# Calculated total energy = -21.63 eV per cell
data_InTeCl2
_chemical_formula_sum 'In2 Te2 Cl4'
_cell_length_a 4.734
_cell_length_b 4.742
_cell_length_c 11.138
_cell_angle_alpha 90.00
_cell_angle_beta 90.00
_cell_angle_gamma 90.00
_symmetry_space_group_name_H-M 'C m m m'
_symmetry_Int_Tables_number 65
_symmetry_space_group_name_Hall '-C 2 2'
loop_
_atom_site_label
_atom_site_type_symbol
_atom_site_fract_x
_atom_site_fract_y
_atom_site_fract_z
_atom_site_occupancy
In1 In 0.000 0.000 0.000 1
Te1 Te 0.000 0.000 0.500 1
Cl1 Cl 0.000 0.500 0.148 1

=====

2.
# InTeCl2 PBE-GGA optimized geometry
# Energy relative to the elements, uncorrected = -110.9 kJ/mol of formula units
# Calculated total energy = -21.44 eV per cell
data_InTeCl2
_chemical_formula_sum 'In2 Te2 Cl4'
_cell_length_a 7.436
_cell_length_b 9.282
_cell_length_c 3.417
_cell_angle_alpha 90.00
_cell_angle_beta 116.21
_cell_angle_gamma 90.00
_symmetry_space_group_name_H-M 'C 1 2/m 1'
_symmetry_Int_Tables_number 12
_symmetry_space_group_name_Hall '-C 2y'
loop_
_atom_site_label
_atom_site_type_symbol
_atom_site_fract_x
_atom_site_fract_y
_atom_site_fract_z
_atom_site_occupancy
In1 In 0.000 0.000 0.000 1
Te1 Te 0.000 0.500 0.000 1
Cl1 Cl 0.250 0.250 0.000 1

=====

Record order is preserved below.
ΔE to the lowest computed polymorph: 352, 376 meV per atom